DFT (PBE) results for an optimized crystal structure of ZrNiSbRh.

Results
* E: -6.984 eV/atom
* ΔE_f (raw): -0.533 eV per atom
* SG: F-43m, No. 216
* mass density: 9.24 g/cm³

Cell: 4.567 4.567 4.567 Å, 60.00 60.00 60.00°
Positions (direct):
Zr: 0.000 0.000 0.000
Ni: 0.250 0.250 0.250
Sb: 0.500 0.500 0.500
Rh: 0.750 0.750 0.750